Below is SmScCl3 after structural relaxation, with properties calculated at the PBE level.

Cell: 7.866 7.866 9.938 Å, 117.93 117.93 28.07°
Element x y z (fractional)
1 Sm 0.088 0.088 0.448
2 Sm 0.912 0.912 0.552
3 Sc 0.361 0.361 0.203
4 Sc 0.639 0.639 0.797
5 Cl 0.163 0.163 0.999
6 Cl 0.269 0.269 0.368
7 Cl 0.466 0.466 0.780
8 Cl 0.534 0.534 0.220
9 Cl 0.731 0.731 0.632
10 Cl 0.837 0.837 0.001

For the polymorph energy (0 for the lowest one), the calculation gives 0.045 eV/atom.

***

Below is SmScCl3 after structural relaxation, with properties calculated at the PBE level.

Cell: 8.191 8.191 10.495 Å, 119.71 119.71 25.90°
Element x y z (fractional)
1 Sm 0.137 0.137 0.289
2 Sm 0.863 0.863 0.711
3 Sc 0.422 0.422 0.043
4 Sc 0.578 0.578 0.957
5 Cl 0.049 0.049 0.760
6 Cl 0.213 0.213 0.109
7 Cl 0.342 0.342 0.487
8 Cl 0.658 0.658 0.513
9 Cl 0.787 0.787 0.891
10 Cl 0.951 0.951 0.240

For the polymorph energy (0 for the lowest one), the calculation gives 0.000 eV/atom.

***

Below is TbScCl6 after structural relaxation, with properties calculated at the PBE level.

Cell: 6.650 11.549 6.404 Å, 90.00 110.47 90.00°
Element x y z (fractional)
1 Tb 0.000 0.000 0.000
2 Tb 0.500 0.500 0.000
3 Sc 0.000 0.668 0.000
4 Sc 0.500 0.168 0.000
5 Cl 0.222 0.825 0.241
6 Cl 0.229 0.660 0.763
7 Cl 0.245 0.518 0.239
8 Cl 0.255 0.018 0.761
9 Cl 0.271 0.160 0.237
10 Cl 0.278 0.325 0.759
11 Cl 0.722 0.325 0.241
12 Cl 0.729 0.160 0.763
13 Cl 0.745 0.018 0.239
14 Cl 0.755 0.518 0.761
15 Cl 0.771 0.660 0.237
16 Cl 0.778 0.825 0.759

For the total energy, the calculation gives -4.945 eV/atom.